Entry 1:
An optimized crystal structure of CsCdSnTe3, computed with GGA-PBE. Values from VASP.

Structure (Quantum ESPRESSO input):
```
&SYSTEM
  ibrav = 0, nat = 12, ntyp = 4
/
ATOMIC_SPECIES
Sn 118.71 Sn.upf
Cs 132.91 Cs.upf
Te 127.60 Te.upf
Cd 112.41 Cd.upf
ATOMIC_POSITIONS angstrom
Sn 2.3940 -4.2225 4.5327
Cs 6.4092 0.6378 7.7434
Te 3.1083 3.8015 4.4686
Cs 2.0235 0.6882 2.3203
Cd 4.1218 -3.4502 8.0173
Te 7.3762 2.8979 4.6583
Te 5.3244 -2.4755 5.5951
Te 1.0565 -1.5719 5.4054
Te 1.9668 -5.2328 7.4377
Cd 4.3110 4.7762 2.0464
Sn 6.0387 5.5485 5.5310
Te 6.4659 6.5589 2.6260
CELL_PARAMETERS angstrom
-2.1759 1.4590 3.6027
3.1192 -8.3920 5.2822
7.4894 8.2590 1.1787
```

Values from the calculation:
mass density: 5.1 g cm⁻³
formation energy (no corrections): -518.3 meV per atom

=====

Entry 2:
An optimized crystal structure of CsCd2SnTe4, computed with GGA-PBE. Values from VASP.

Structure (Quantum ESPRESSO input):
```
&SYSTEM
  ibrav = 0, nat = 8, ntyp = 4
/
ATOMIC_SPECIES
Te 127.60 Te.upf
Cd 112.41 Cd.upf
Sn 118.71 Sn.upf
Cs 132.91 Cs.upf
ATOMIC_POSITIONS angstrom
Te -1.5352 -1.6683 3.4247
Cd -0.1693 3.9804 2.5786
Te 1.5352 1.6683 3.4247
Te 5.4779 2.6083 1.7152
Cd 3.9807 0.1614 2.5786
Sn 0.0000 0.0000 5.1407
Cs 0.0000 0.0000 0.0055
Te 2.1449 5.6754 1.7152
CELL_PARAMETERS angstrom
7.9615 0.3229 0.0000
-0.3386 7.9608 0.0000
-3.8114 -4.1419 5.1451
```

Values from the calculation:
mass density: 5.0 g cm⁻³
formation energy (no corrections): -386.9 meV per atom

=====

| no. | V (A^3/atom) |
| --- | --- |
| 1 | 40.67 |
| 2 | 40.83 |